Compound: PtAu2
Source: the Alexandria database
Functional: GGA-PBEsol
Structure: relaxed Values from VASP.

```
&SYSTEM
  ibrav = 0, nat = 6, ntyp = 2
/
ATOMIC_SPECIES
Au 196.97 Au.upf
Pt 195.08 Pt.upf
CELL_PARAMETERS angstrom
-2.5527 -0.1888 1.1859
-0.9572 -0.1735 -5.4434
1.3853 -6.3475 1.9714
ATOMIC_POSITIONS angstrom
Au -0.5708 -4.4316 -1.9341
Au -1.5503 -2.3183 -0.3508
Au -0.0091 -0.0035 -0.0200
Au -1.3469 -1.9547 -3.2103
Pt 0.5944 -3.9271 0.6544
Pt -0.9568 -6.1631 0.3149
```

**Size of the total moment**: 0.00 Bohr magnetons per cell
**Fermi-level density of states**: 0.506 states/eV per atom
**Space-group type**: Cm (8)
**Uncorrected energy**: -4.8926 eV/atom
**E above lowest polymorph**: 8 meV per atom
**Energy of formation**: 0.13 eV per formula unit